Density functional theory data (GGA-PBE) for an optimized crystal structure of Pm3HoSb2.

Properties
For the polymorph energy (0 for the lowest one), the calculation gives 0.219 eV/atom. For the density of states at the Fermi level, the calculation gives 14.09 states/eV per cell. The magnetization comes out at 0.21 μB/f.u. As for the total energy: -30.73 eV/f.u. The energy relative to the elements, uncorrected comes out at -609 meV per atom.

a = 8.9946 Å, b = 8.9946 Å, c = 8.9946 Å
α = 133.08°, β = 72.53°, γ = 128.12°
With the nearest neighbours (Å) after each atom.
Fractional coordinates of all 12 atoms:
1 Pm 0.0410 0.7500 0.2910  4 Sb 3.16-3.17
2 Pm 0.2500 0.2500 0.0000  4 Sb 3.15
3 Pm 0.4590 0.7500 0.7090  4 Sb 3.16-3.17
4 Pm 0.5410 0.2500 0.2910  4 Sb 3.16-3.17
5 Pm 0.7500 0.7500 0.0000  4 Sb 3.15
6 Pm 0.9590 0.2500 0.7090  4 Sb 3.16-3.17
7 Ho 0.0000 0.5000 0.5000  2 Sb 3.11
8 Ho 0.5000 0.0000 0.5000  2 Sb 3.11
9 Sb 0.1448 0.1801 0.3249  1 Ho 3.11, 6 Pm 3.15-3.17
10 Sb 0.3552 0.6801 0.0352  1 Ho 3.11, 6 Pm 3.15-3.17
11 Sb 0.6448 0.3199 0.9648  1 Ho 3.11, 6 Pm 3.15-3.17
12 Sb 0.8552 0.8199 0.6751  1 Ho 3.11, 6 Pm 3.15-3.17